# GaTcI2N, optimized geometry, DFT PBE
data_GaTcI2N
_chemical_formula_sum 'Ga1 Tc1 I2 N1'
_cell_length_a 5.568
_cell_length_b 5.568
_cell_length_c 5.121
_cell_angle_alpha 90.00
_cell_angle_beta 90.00
_cell_angle_gamma 90.00
_space_group_name_H-M_alt 'P 4/m m m'
_space_group_IT_number 123
_space_group_name_Hall '-P 4 2'
loop_
_atom_site_label
_atom_site_type_symbol
_atom_site_fract_x
_atom_site_fract_y
_atom_site_fract_z
Ga1 Ga 0.000 0.000 0.000
Tc1 Tc 0.000 0.000 0.500
I1 I 0.000 0.500 0.000
N1 N 0.500 0.500 0.500
# - density of states at the Fermi level (states/eV per cell) = 14.000
# - ΔE_f (raw) (eV per formula unit) = 10.22

=====

# GaTe2IN, optimized geometry, DFT PBE
data_GaTe2IN
_chemical_formula_sum 'Ga1 Te2 I1 N1'
_cell_length_a 6.190
_cell_length_b 6.190
_cell_length_c 3.904
_cell_angle_alpha 90.00
_cell_angle_beta 90.00
_cell_angle_gamma 90.00
_space_group_name_H-M_alt 'P 4/m m m'
_space_group_IT_number 123
_space_group_name_Hall '-P 4 2'
loop_
_atom_site_label
_atom_site_type_symbol
_atom_site_fract_x
_atom_site_fract_y
_atom_site_fract_z
Ga1 Ga 0.000 0.000 0.000
Te1 Te 0.000 0.500 0.500
I1 I 0.500 0.500 0.500
N1 N 0.500 0.500 0.000
# - density of states at the Fermi level (states/eV per cell) = 2.906
# - ΔE_f (raw) (eV per formula unit) = 5.47

=====

# GaTe2IN, optimized geometry, DFT PBE
data_GaTe2IN
_chemical_formula_sum 'Ga1 Te2 I1 N1'
_cell_length_a 5.452
_cell_length_b 5.452
_cell_length_c 5.808
_cell_angle_alpha 90.00
_cell_angle_beta 90.00
_cell_angle_gamma 90.00
_space_group_name_H-M_alt 'P 4/m m m'
_space_group_IT_number 123
_space_group_name_Hall '-P 4 2'
loop_
_atom_site_label
_atom_site_type_symbol
_atom_site_fract_x
_atom_site_fract_y
_atom_site_fract_z
Ga1 Ga 0.000 0.000 0.000
Te1 Te 0.000 0.500 0.000
I1 I 0.000 0.000 0.500
N1 N 0.500 0.500 0.500
# - density of states at the Fermi level (states/eV per cell) = 6.580
# - ΔE_f (raw) (eV per formula unit) = 6.33

=====

# GaTe2IN, optimized geometry, DFT PBE
data_GaTe2IN
_chemical_formula_sum 'Ga1 Te2 I1 N1'
_cell_length_a 4.921
_cell_length_b 4.921
_cell_length_c 4.924
_cell_angle_alpha 90.00
_cell_angle_beta 90.00
_cell_angle_gamma 90.00
_space_group_name_H-M_alt 'P 4/m m m'
_space_group_IT_number 123
_space_group_name_Hall '-P 4 2'
loop_
_atom_site_label
_atom_site_type_symbol
_atom_site_fract_x
_atom_site_fract_y
_atom_site_fract_z
Ga1 Ga 0.000 0.000 0.000
Te1 Te 0.000 0.500 0.500
I1 I 0.500 0.500 0.000
N1 N 0.500 0.500 0.500
# - density of states at the Fermi level (states/eV per cell) = 4.360
# - ΔE_f (raw) (eV per formula unit) = 3.56